# PBE La4PrIn, optimized geometry
data_La4PrIn
_space_group_name_H-M_alt 'P 1 21/m 1'
_space_group_IT_number 11
_space_group_name_Hall '-P 2yb'
_cell_length_a 6.304
_cell_length_b 7.129
_cell_length_c 8.921
_cell_angle_alpha 90.00
_cell_angle_beta 91.21
_cell_angle_gamma 90.00
loop_
_atom_site_label
_atom_site_fract_x
_atom_site_fract_y
_atom_site_fract_z
La1 0.000 0.000 0.000
La2 0.338 0.008 0.340
La3 0.481 0.750 0.983
Pr1 0.160 0.250 0.670
In1 0.160 0.750 0.655
# calculated density	6722	kg/m³
# energy relative to the elements	-98	kJ/mol of formula units
# DFT total energy	-4.708	eV per atom